Entry from Alexandria via LeMat-Bulk: LaCrSb after structural relaxation (PBE).

Output
The symmetry is No. 216. The calculation puts the total energy at -6.470 eV per atom. For the total magnetic moment, the calculation gives 3.996 μB/cell. For the formation energy from raw total energies, the calculation gives -0.2454 eV per atom.

abc: 4.842 4.842 4.842
angles: 60.00 60.00 60.00
Element x y z (fractional)
La 0.000 0.000 0.000
Sb 0.500 0.500 0.500
Cr 0.750 0.750 0.750